Entry 1:
TaOsPt3: relaxed, PBE.

a b c (Å): 4.7567 4.7567 4.7567
angles (deg): 90.00 90.00 90.00
Space group Pm-3m (No. 221)
Asymmetric unit:
Ta: 0.0000 0.0000 0.0000 x1
Os: 0.5000 0.5000 0.5000 x1
Pt: 0.0000 0.5000 0.5000 x3

Energy, eV per atom: -6.64

***

Entry 2:
CsB5O8: relaxed, PBE.

a b c (Å): 8.8969 8.8996 22.0270
angles (deg): 90.00 90.00 90.00
Space group Pbca (No. 61)
Asymmetric unit:
Cs: 0.1017 0.0747 0.1190 x8
B: 0.0130 0.0330 0.7027 x8
B: 0.0150 0.1573 0.3778 x8
B: 0.0242 0.2254 0.2689 x8
B: 0.0457 0.7476 0.5181 x8
B: 0.2116 0.1997 0.4561 x8
O: 0.0096 0.2301 0.8272 x8
O: 0.0271 0.0723 0.2533 x8
O: 0.0344 0.5080 0.1440 x8
O: 0.0360 0.1814 0.7188 x8
O: 0.0919 0.7086 0.0741 x8
O: 0.1067 0.2441 0.9973 x8
O: 0.1380 0.6956 0.4723 x8
O: 0.1703 0.1479 0.4010 x8

Raw formation energy, eV/atom: -2.44

***

Entry 3:
Bi2TePb2: relaxed, PBE.

a b c (Å): 9.8940 9.8940 3.4215
angles (deg): 90.00 90.00 90.00
Space group P4/mbm (No. 127)
Asymmetric unit:
Bi: 0.1180 0.3820 0.0000 x4
Te: 0.0000 0.0000 0.5000 x2
Pb: 0.1768 0.6768 0.5000 x4

Raw formation energy, eV/atom: 0.10